Here is an optimized crystal structure of YEr7Tl2 from Alexandria. Energies are from PBE.

## Properties
The calculation puts the raw total energy at -39.5 eV/f.u. Its space group is No. 65.

```
YEr7Tl2
1.0
-5.051 -1.545 -0.328
0.364 -2.984 8.456
-2.497 8.484 -1.527
Tl Er Y
2 7 1
direct
0.500 0.306 0.694
0.500 0.694 0.306
0.500 0.939 0.698
0.500 0.061 0.302
0.500 0.302 0.061
0.500 0.500 0.500
0.500 0.698 0.939
0.000 0.774 0.226
0.000 0.226 0.774
0.000 0.000 0.000
```

---

Here is an optimized crystal structure of TlAuSe3 from Alexandria. Energies are from PBE.

## Properties
As for the relative energy among the computed polymorphs: 0.146 eV/atom. The formation energy from raw total energies is -0.0062 eV per atom. Its space group is No. 64.

```
TlAuSe3
1.0
-2.949 5.291 0.307
-8.236 -4.317 -4.714
0.910 -0.095 10.385
Se Au Tl
12 4 4
direct
0.304 0.748 0.752
0.196 0.248 0.252
0.250 0.593 0.407
0.750 0.407 0.593
0.692 0.483 0.017
0.750 0.907 0.093
0.696 0.252 0.248
0.308 0.517 0.983
0.804 0.752 0.748
0.808 0.983 0.517
0.192 0.017 0.483
0.250 0.093 0.907
0.225 0.383 0.117
0.775 0.617 0.883
0.725 0.117 0.383
0.275 0.883 0.617
0.750 0.114 0.886
0.750 0.614 0.386
0.250 0.886 0.114
0.250 0.386 0.614
```

---

Here is an optimized crystal structure of NaSr2In2 from Alexandria. Energies are from PBE.

## Properties
As for the relative energy among the computed polymorphs: 0.003 eV/atom. Its space group is No. 65.

```
NaSr2In2
1.0
-1.134 0.131 -4.041
4.612 -1.688 -1.350
-5.108 -7.230 1.199
Sr In Na
2 2 1
direct
0.500 0.637 0.274
0.500 0.363 0.726
0.000 0.196 0.392
0.000 0.804 0.608
0.000 0.000 0.000
```

---

Here is an optimized crystal structure of AgTe2Br from Alexandria. Energies are from PBE.

## Properties
The formation energy from raw total energies is 0.0129 eV per atom. Its space group is No. 166.

```
AgTe2Br
1.0
2.505 0.000 8.378
-1.252 2.169 8.378
-1.252 -2.169 8.378
Br Te Ag
1 2 1
direct
0.000 0.000 0.000
0.888 0.888 0.888
0.112 0.112 0.112
0.500 0.500 0.500
```

---

Here is an optimized crystal structure of BeCo2Os from Alexandria. Energies are from PBE.

## Properties
The calculation puts the raw total energy at -28.2 eV/f.u. Its space group is No. 65.

```
BeCo2Os
1.0
-0.751 2.429 -0.096
-0.737 -1.424 -1.976
-6.566 -1.881 3.803
Co Be Os
2 1 1
direct
0.000 0.000 0.974
0.000 0.000 0.526
0.500 0.500 0.750
0.500 0.500 0.250
```

---

Here is an optimized crystal structure of TlCd2Au2 from Alexandria. Energies are from PBE.

## Properties
As for the relative energy among the computed polymorphs: 0.042 eV/atom. Its space group is No. 139.

```
TlCd2Au2
1.0
4.319 0.000 0.000
0.000 4.319 0.000
2.159 2.159 6.480
Cd Au Tl
2 2 1
direct
0.250 0.750 0.500
0.750 0.250 0.500
0.395 0.395 0.210
0.605 0.605 0.790
0.000 0.000 0.000
```

---

no.,spin magnetization (μB per cell)
1,0.00
2,0.00
3,0.00
4,0.00
5,2.72
6,0.00